1.
The following is a PBE calculation of an optimized crystal structure of LaPrGeCl2, from OQMD via LeMat-Bulk.

Computed properties:
Size of the total moment   0.00 Bohr magnetons per cell
DFT total energy   -5.28 eV/atom

a b c (Å): 4.3274 4.3274 9.8992
angles (deg): 90.00 90.00 120.00
Closest atoms and distances in Å follow each position.
Atoms (fractional coordinates):
Cl (0.3333, 0.6667, 0.1691)  3 La 2.95
Cl (0.6667, 0.3333, 0.8299)  3 Pr 2.94
Ge (0.0000, 0.0000, 0.5011)  3 Pr 3.02, 3 La 3.04
La (0.6667, 0.3333, 0.3266)  3 Cl 2.95, 3 Ge 3.04
Pr (0.3333, 0.6667, 0.6733)  3 Cl 2.94, 3 Ge 3.02

2.
The following is a PBE calculation of an optimized crystal structure of LaSmGeCl2, from OQMD via LeMat-Bulk.

Computed properties:
Size of the total moment   0.00 Bohr magnetons per cell
DFT total energy   -5.27 eV/atom

a b c (Å): 4.2785 4.2785 9.8388
angles (deg): 90.00 90.00 120.00
Closest atoms and distances in Å follow each position.
Atoms (fractional coordinates):
Cl (0.3333, 0.6667, 0.1726)  3 Sm 2.90
Cl (0.6667, 0.3333, 0.8339)  3 La 2.94
Ge (0.0000, 0.0000, 0.4953)  3 Sm 2.98, 3 La 3.02
La (0.3333, 0.6667, 0.6714)  3 Cl 2.94, 3 Ge 3.02
Sm (0.6667, 0.3333, 0.3268)  3 Cl 2.90, 3 Ge 2.98

3.
The following is a PBE calculation of an optimized crystal structure of LaTbGeCl2, from OQMD via LeMat-Bulk.

Computed properties:
Size of the total moment   0.00 Bohr magnetons per cell
DFT total energy   -5.24 eV/atom

a b c (Å): 4.2431 4.2431 9.7765
angles (deg): 90.00 90.00 120.00
Closest atoms and distances in Å follow each position.
Atoms (fractional coordinates):
Cl (0.3333, 0.6667, 0.1754)  3 Tb 2.86
Cl (0.6667, 0.3333, 0.8367)  3 La 2.94
Ge (0.0000, 0.0000, 0.4914)  3 Tb 2.93, 3 La 3.01
La (0.3333, 0.6667, 0.6699)  3 Cl 2.94, 3 Ge 3.01
Tb (0.6667, 0.3333, 0.3267)  3 Cl 2.86, 3 Ge 2.93

4.
The following is a PBE calculation of an optimized crystal structure of LaTmGeCl2, from OQMD via LeMat-Bulk.

Computed properties:
Size of the total moment   0.00 Bohr magnetons per cell
DFT total energy   -5.18 eV/atom

a b c (Å): 4.2035 4.2035 9.6996
angles (deg): 90.00 90.00 120.00
Closest atoms and distances in Å follow each position.
Atoms (fractional coordinates):
Cl (0.3333, 0.6667, 0.1775)  3 Tm 2.83
Cl (0.6667, 0.3333, 0.8387)  3 La 2.94
Ge (0.0000, 0.0000, 0.4880)  3 Tm 2.88, 3 La 2.99
La (0.3333, 0.6667, 0.6680)  3 Cl 2.94, 3 Ge 2.99
Tm (0.6667, 0.3333, 0.3278)  3 Cl 2.83, 3 Ge 2.88

5.
The following is a PBE calculation of an optimized crystal structure of NdSmGeCl2, from OQMD via LeMat-Bulk.

Computed properties:
Size of the total moment   0.01 Bohr magnetons per cell
DFT total energy   -5.20 eV/atom

a b c (Å): 4.2164 4.2164 9.8344
angles (deg): 90.00 90.00 120.00
Closest atoms and distances in Å follow each position.
Atoms (fractional coordinates):
Cl (0.3333, 0.6667, 0.1681)  3 Nd 2.90
Cl (0.6667, 0.3333, 0.8294)  3 Sm 2.89
Ge (0.0000, 0.0000, 0.5025)  3 Sm 2.94, 3 Nd 2.97
Nd (0.6667, 0.3333, 0.3292)  3 Cl 2.90, 3 Ge 2.97
Sm (0.3333, 0.6667, 0.6708)  3 Cl 2.89, 3 Ge 2.94

6.
The following is a PBE calculation of an optimized crystal structure of TbNdGeCl2, from OQMD via LeMat-Bulk.

Computed properties:
Size of the total moment   0.00 Bohr magnetons per cell
DFT total energy   -5.18 eV/atom

a b c (Å): 4.1713 4.1713 9.7796
angles (deg): 90.00 90.00 120.00
Closest atoms and distances in Å follow each position.
Atoms (fractional coordinates):
Cl (0.3333, 0.6667, 0.1656)  3 Nd 2.90
Cl (0.6667, 0.3333, 0.8263)  3 Tb 2.85
Ge (0.0000, 0.0000, 0.5059)  3 Tb 2.90, 3 Nd 2.95
Nd (0.6667, 0.3333, 0.3311)  3 Cl 2.90, 3 Ge 2.95
Tb (0.3333, 0.6667, 0.6710)  3 Cl 2.85, 3 Ge 2.90

7.
The following is a PBE calculation of an optimized crystal structure of NdYGeCl2, from OQMD via LeMat-Bulk.

Computed properties:
Size of the total moment   0.00 Bohr magnetons per cell
DFT total energy   -5.55 eV/atom

a b c (Å): 4.1654 4.1654 9.7700
angles (deg): 90.00 90.00 120.00
Closest atoms and distances in Å follow each position.
Atoms (fractional coordinates):
Cl (0.3333, 0.6667, 0.1654)  3 Nd 2.90
Cl (0.6667, 0.3333, 0.8263)  3 Y 2.85
Ge (0.0000, 0.0000, 0.5061)  3 Y 2.89, 3 Nd 2.95
Nd (0.6667, 0.3333, 0.3315)  3 Cl 2.90, 3 Ge 2.95
Y (0.3333, 0.6667, 0.6707)  3 Cl 2.85, 3 Ge 2.89

8.
The following is a PBE calculation of an optimized crystal structure of Rb2GePdCl6, from OQMD via LeMat-Bulk.

Computed properties:
DFT total energy   -3.44 eV/atom

a b c (Å): 7.1663 7.1663 7.1663
angles (deg): 60.00 60.00 60.00
Closest atoms and distances in Å follow each position.
Atoms (fractional coordinates):
Cl (0.7497, 0.2503, 0.2503)  1 Pd 2.53, 1 Ge 2.54
Cl (0.2503, 0.7497, 0.2503)  1 Pd 2.53, 1 Ge 2.54
Cl (0.7497, 0.7497, 0.2503)  1 Pd 2.53, 1 Ge 2.54
Cl (0.2503, 0.2503, 0.7497)  1 Pd 2.53, 1 Ge 2.54
Cl (0.7497, 0.2503, 0.7497)  1 Pd 2.53, 1 Ge 2.54
Cl (0.2503, 0.7497, 0.7497)  1 Pd 2.53, 1 Ge 2.54
Ge (0.0000, 0.0000, 0.0000)  6 Cl 2.54
Pd (0.5000, 0.5000, 0.5000)  6 Cl 2.53
Rb (0.2500, 0.2500, 0.2500)  12 Cl 3.58
Rb (0.7500, 0.7500, 0.7500)  12 Cl 3.58

9.
The following is a PBE calculation of an optimized crystal structure of Pm4GeCl5, from OQMD via LeMat-Bulk.

Computed properties:
Size of the total moment   0.01 Bohr magnetons per cell
DFT total energy   -5.04 eV/atom

a b c (Å): 9.2475 9.2475 8.3515
angles (deg): 103.55 103.55 25.45
Closest atoms and distances in Å follow each position.
Atoms (fractional coordinates):
Cl (0.8293, 0.8293, 0.1467)  4 Pm 2.89-3.02
Cl (0.1660, 0.1660, 0.3270)  3 Pm 2.82-2.90
Cl (0.5000, 0.5000, 0.5000)  4 Pm 3.01
Cl (0.8340, 0.8340, 0.6730)  3 Pm 2.82-2.90
Cl (0.1707, 0.1707, 0.8533)  4 Pm 2.89-3.02
Ge (0.5000, 0.5000, 0.0000)  6 Pm 2.75-2.83
Pm (0.6572, 0.6572, 0.0901)  1 Ge 2.75, 5 Cl 2.82-3.02
Pm (0.0004, 0.0004, 0.2349)  2 Ge 2.83, 4 Cl 2.90-3.01
Pm (0.9996, 0.9996, 0.7651)  2 Ge 2.83, 4 Cl 2.90-3.01
Pm (0.3428, 0.3428, 0.9099)  1 Ge 2.75, 5 Cl 2.82-3.02

10.
The following is a PBE calculation of an optimized crystal structure of Pr4Ge2Cl3, from OQMD via LeMat-Bulk.

Computed properties:
Size of the total moment   0.01 Bohr magnetons per cell
DFT total energy   -5.24 eV/atom

a b c (Å): 4.2865 4.2865 17.0077
angles (deg): 90.17 90.17 60.00
Closest atoms and distances in Å follow each position.
Atoms (fractional coordinates):
Cl (0.0000, 0.0000, 0.0000)  6 Pr 3.11
Cl (0.3362, 0.3362, 0.3988)  3 Pr 2.94
Cl (0.6638, 0.6638, 0.6012)  3 Pr 2.94
Ge (0.6681, 0.6681, 0.2047)  6 Pr 2.94-3.01
Ge (0.3319, 0.3319, 0.7953)  6 Pr 2.94-3.01
Pr (0.3340, 0.3340, 0.1109)  3 Ge 2.94-2.95, 3 Cl 3.11
Pr (0.0021, 0.0021, 0.3054)  3 Cl 2.94, 3 Ge 3.01
Pr (0.9979, 0.9979, 0.6946)  3 Cl 2.94, 3 Ge 3.01
Pr (0.6660, 0.6660, 0.8891)  3 Ge 2.94-2.95, 3 Cl 3.11

11.
The following is a PBE calculation of an optimized crystal structure of Pr4GeCl5, from OQMD via LeMat-Bulk.

Computed properties:
Size of the total moment   0.01 Bohr magnetons per cell
DFT total energy   -5.06 eV/atom

a b c (Å): 9.4276 9.4276 8.4953
angles (deg): 104.54 104.54 25.43
Closest atoms and distances in Å follow each position.
Atoms (fractional coordinates):
Cl (0.8301, 0.8301, 0.1425)  4 Pr 2.94-3.09
Cl (0.1667, 0.1667, 0.3304)  3 Pr 2.86-2.95
Cl (0.5000, 0.5000, 0.5000)  4 Pr 3.06
Cl (0.8333, 0.8333, 0.6696)  3 Pr 2.86-2.95
Cl (0.1699, 0.1699, 0.8575)  4 Pr 2.94-3.09
Ge (0.5000, 0.5000, 0.0000)  6 Pr 2.80-2.88
Pr (0.6576, 0.6576, 0.0941)  1 Ge 2.80, 5 Cl 2.86-3.09
Pr (0.0008, 0.0008, 0.2357)  2 Ge 2.88, 4 Cl 2.95-3.06
Pr (0.9992, 0.9992, 0.7643)  2 Ge 2.88, 4 Cl 2.95-3.06
Pr (0.3424, 0.3424, 0.9059)  1 Ge 2.80, 5 Cl 2.86-3.09

Repeat the tenth record exactly.
The following is a PBE calculation of an optimized crystal structure of Pr4Ge2Cl3, from OQMD via LeMat-Bulk.

Computed properties:
Size of the total moment   0.01 Bohr magnetons per cell
DFT total energy   -5.24 eV/atom

a b c (Å): 4.2865 4.2865 17.0077
angles (deg): 90.17 90.17 60.00
Closest atoms and distances in Å follow each position.
Atoms (fractional coordinates):
Cl (0.0000, 0.0000, 0.0000)  6 Pr 3.11
Cl (0.3362, 0.3362, 0.3988)  3 Pr 2.94
Cl (0.6638, 0.6638, 0.6012)  3 Pr 2.94
Ge (0.6681, 0.6681, 0.2047)  6 Pr 2.94-3.01
Ge (0.3319, 0.3319, 0.7953)  6 Pr 2.94-3.01
Pr (0.3340, 0.3340, 0.1109)  3 Ge 2.94-2.95, 3 Cl 3.11
Pr (0.0021, 0.0021, 0.3054)  3 Cl 2.94, 3 Ge 3.01
Pr (0.9979, 0.9979, 0.6946)  3 Cl 2.94, 3 Ge 3.01
Pr (0.6660, 0.6660, 0.8891)  3 Ge 2.94-2.95, 3 Cl 3.11